The following is a GGA-PBE calculation of a geometry-optimized Tc2HgTe structure, from the Alexandria database.

abc: 5.188 5.188 5.188
angles: 133.46 133.46 67.93
Atoms (fractional coordinates):
Tc1 0.000 0.000 0.000
Tc2 0.750 0.250 0.500
Hg1 0.500 0.500 0.000
Te1 0.250 0.750 0.500

Space group: I-4m2, No. 119
Uncorrected formation energy, kJ per mole of atoms: 77.13
Electronic total energy, eV/cell: -20.978
E above lowest polymorph, meV/atom: 527

The following is a GGA-PBE calculation of a geometry-optimized TcHgTe2 structure, from the Alexandria database.

abc: 4.418 4.418 4.758
angles: 90.00 90.00 90.00
Atoms (fractional coordinates):
Tc1 0.000 0.000 0.000
Hg1 0.500 0.500 0.000
Te1 0.000 0.500 0.500
Te2 0.500 0.000 0.500

Space group: P4/mmm, No. 123
Uncorrected formation energy, kJ per mole of atoms: 78.24
Electronic total energy, eV/cell: -13.707

The following is a GGA-PBE calculation of a geometry-optimized TcHgTe2 structure, from the Alexandria database.

abc: 5.110 5.110 5.110
angles: 60.00 60.00 60.00
Atoms (fractional coordinates):
Tc1 0.000 0.000 0.000
Hg1 0.250 0.250 0.250
Te1 0.500 0.500 0.500
Te2 0.750 0.750 0.750

Space group: F-43m, No. 216
Uncorrected formation energy, kJ per mole of atoms: 82.25
Electronic total energy, eV/cell: -13.541

The following is a GGA-PBE calculation of a geometry-optimized Tc2HgTe structure, from the Alexandria database.

abc: 3.381 4.454 4.987
angles: 90.00 90.00 90.00
Atoms (fractional coordinates):
Tc1 0.000 0.000 0.000
Tc2 0.500 0.000 0.500
Hg1 0.000 0.500 0.500
Te1 0.500 0.500 0.000

Space group: Pmmm, No. 47
Uncorrected formation energy, kJ per mole of atoms: 85.40
Electronic total energy, eV/cell: -20.635
E above lowest polymorph, meV/atom: 613

The following is a GGA-PBE calculation of a geometry-optimized Tc2HgTe structure, from the Alexandria database.

abc: 4.631 4.631 4.631
angles: 60.00 60.00 60.00
Atoms (fractional coordinates):
Tc1 0.250 0.250 0.250
Tc2 0.750 0.750 0.750
Hg1 0.000 0.000 0.000
Te1 0.500 0.500 0.500

Space group: Fm-3m, No. 225
Uncorrected formation energy, kJ per mole of atoms: 57.47
Electronic total energy, eV/cell: -21.793
E above lowest polymorph, meV/atom: 324

The following is a GGA-PBE calculation of a geometry-optimized TcHgTe2 structure, from the Alexandria database.

abc: 3.235 3.235 9.917
angles: 90.00 90.00 90.00
Atoms (fractional coordinates):
Tc1 0.000 0.000 0.000
Hg1 0.000 0.000 0.500
Te1 0.500 0.500 0.170
Te2 0.500 0.500 0.830

Space group: P4/mmm, No. 123
Uncorrected formation energy, kJ per mole of atoms: 3.16
Electronic total energy, eV/cell: -16.820